First-principles (GGA+U) data for crystalline Mn5Tc2O12 at its relaxed geometry, as listed in Alexandria.

Results
V in Å³/cell: 226
E in eV per cell: -144.99
Theoretical density in Mg/m³: 4.879
Magnetization in Bohr magnetons per cell: 23.0

```
data_Mn5Tc2O12
_cell_length_a 5.596
_cell_length_b 7.324
_cell_length_c 6.508
_cell_angle_alpha 108.43
_cell_angle_beta 115.46
_cell_angle_gamma 90.00
_space_group_name_H-M_alt 'P 1'
_space_group_IT_number 1
loop_
_space_group_symop_operation_xyz
'x,y,z'
loop_
_atom_site_label
_atom_site_fract_x
_atom_site_fract_y
_atom_site_fract_z
_atom_site_occupancy
Mn1 0.717 0.433 0.434 1
Mn2 0.683 0.824 0.366 1
Mn3 0.000 0.500 0.000 1
Mn4 0.317 0.176 0.634 1
Mn5 0.283 0.567 0.566 1
Tc1 0.225 0.000 0.000 1
Tc2 0.775 0.000 0.000 1
O1 0.022 0.218 0.044 1
O2 0.483 0.805 0.966 1
O3 0.580 0.947 0.676 1
O4 0.585 0.419 0.670 1
O5 0.978 0.782 0.956 1
O6 0.086 0.419 0.670 1
O7 0.415 0.581 0.330 1
O8 0.420 0.053 0.324 1
O9 0.096 0.947 0.676 1
O10 0.904 0.053 0.324 1
O11 0.914 0.581 0.330 1
O12 0.517 0.195 0.034 1
```